(1)
# Pu2MnBeGe6

A geometry-optimized Pu2MnBeGe6 structure (PBE-GGA, Alexandria).

a b c (Å): 11.685 11.685 11.685
angles (deg): 30.49 30.49 30.49
Atoms (fractional coordinates):
Pu1 0.113 0.113 0.113
Pu2 0.292 0.292 0.292
Pu3 0.708 0.708 0.708
Pu4 0.887 0.887 0.887
Mn1 0.000 0.000 0.000
Mn2 0.500 0.500 0.500
Be1 0.431 0.431 0.431
Be2 0.569 0.569 0.569
Ge1 0.072 0.660 0.660
Ge2 0.231 0.231 0.666
Ge3 0.231 0.666 0.231
Ge4 0.334 0.769 0.769
Ge5 0.340 0.340 0.928
Ge6 0.340 0.928 0.340
Ge7 0.660 0.072 0.660
Ge8 0.660 0.660 0.072
Ge9 0.666 0.231 0.231
Ge10 0.769 0.334 0.769
Ge11 0.769 0.769 0.334
Ge12 0.928 0.340 0.340

Crystal system: trigonal
Calculated formation energy, meV per atom: -168.8
SG: R-3m (166)

(2)
# Mn2BeReGe

A geometry-optimized Mn2BeReGe structure (PBE-GGA, Alexandria).

a b c (Å): 4.614 4.614 4.349
angles (deg): 90.00 90.00 90.00
Atoms (fractional coordinates):
Mn1 0.000 0.500 0.000
Mn2 0.500 0.000 0.000
Be1 0.000 0.000 0.500
Re1 0.000 0.000 0.000
Ge1 0.500 0.500 0.500

Crystal system: tetragonal
Calculated formation energy, meV per atom: 1190.7
SG: P4/mmm (123)

(3)
# Mn5Be2Re2Ge

A geometry-optimized Mn5Be2Re2Ge structure (PBE-GGA, Alexandria).

a b c (Å): 8.748 8.748 2.931
angles (deg): 90.00 90.00 90.00
Atoms (fractional coordinates):
Mn1 0.000 0.500 0.000
Mn2 0.064 0.209 0.000
Mn3 0.209 0.936 0.000
Mn4 0.291 0.436 0.000
Mn5 0.436 0.709 0.000
Mn6 0.500 0.000 0.000
Mn7 0.564 0.291 0.000
Mn8 0.709 0.564 0.000
Mn9 0.791 0.064 0.000
Mn10 0.936 0.791 0.000
Be1 0.124 0.376 0.500
Be2 0.376 0.876 0.500
Be3 0.624 0.124 0.500
Be4 0.876 0.624 0.500
Re1 0.174 0.674 0.500
Re2 0.326 0.174 0.500
Re3 0.674 0.826 0.500
Re4 0.826 0.326 0.500
Ge1 0.000 0.000 0.500
Ge2 0.500 0.500 0.500

Crystal system: tetragonal
Calculated formation energy, meV per atom: 6.4
SG: P4/mbm (127)

What did the first record say?
# Pu2MnBeGe6

A geometry-optimized Pu2MnBeGe6 structure (PBE-GGA, Alexandria).

a b c (Å): 11.685 11.685 11.685
angles (deg): 30.49 30.49 30.49
Atoms (fractional coordinates):
Pu1 0.113 0.113 0.113
Pu2 0.292 0.292 0.292
Pu3 0.708 0.708 0.708
Pu4 0.887 0.887 0.887
Mn1 0.000 0.000 0.000
Mn2 0.500 0.500 0.500
Be1 0.431 0.431 0.431
Be2 0.569 0.569 0.569
Ge1 0.072 0.660 0.660
Ge2 0.231 0.231 0.666
Ge3 0.231 0.666 0.231
Ge4 0.334 0.769 0.769
Ge5 0.340 0.340 0.928
Ge6 0.340 0.928 0.340
Ge7 0.660 0.072 0.660
Ge8 0.660 0.660 0.072
Ge9 0.666 0.231 0.231
Ge10 0.769 0.334 0.769
Ge11 0.769 0.769 0.334
Ge12 0.928 0.340 0.340

Crystal system: trigonal
Calculated formation energy, meV per atom: -168.8
SG: R-3m (166)

Which formula does entry 2 have? Mn2BeReGe

What did the first record say?
# Pu2MnBeGe6

A geometry-optimized Pu2MnBeGe6 structure (PBE-GGA, Alexandria).

a b c (Å): 11.685 11.685 11.685
angles (deg): 30.49 30.49 30.49
Atoms (fractional coordinates):
Pu1 0.113 0.113 0.113
Pu2 0.292 0.292 0.292
Pu3 0.708 0.708 0.708
Pu4 0.887 0.887 0.887
Mn1 0.000 0.000 0.000
Mn2 0.500 0.500 0.500
Be1 0.431 0.431 0.431
Be2 0.569 0.569 0.569
Ge1 0.072 0.660 0.660
Ge2 0.231 0.231 0.666
Ge3 0.231 0.666 0.231
Ge4 0.334 0.769 0.769
Ge5 0.340 0.340 0.928
Ge6 0.340 0.928 0.340
Ge7 0.660 0.072 0.660
Ge8 0.660 0.660 0.072
Ge9 0.666 0.231 0.231
Ge10 0.769 0.334 0.769
Ge11 0.769 0.769 0.334
Ge12 0.928 0.340 0.340

Crystal system: trigonal
Calculated formation energy, meV per atom: -168.8
SG: R-3m (166)